VASP calculation (PBE with a Hubbard U) on a relaxed structure of LaNiAsO.

Properties
D(E_F) in states/eV/cell: 3.0
M_tot in μB/f.u.: 0.000
Raw total energy in eV/atom: -5.845

Cell lengths 4.1884, 4.1884, 7.9641 Å; angles 90.00, 90.00, 90.00 degrees
With the nearest neighbours (Å) after each atom.
Fractional positions:
La (0.2500, 0.2500, 0.1472)  4 O 2.40
La (0.7500, 0.7500, 0.8528)  4 O 2.40
Ni (0.2500, 0.7500, 0.5000)  4 As 2.32
Ni (0.7500, 0.2500, 0.5000)  4 As 2.32
As (0.2500, 0.2500, 0.6258)  4 Ni 2.32
As (0.7500, 0.7500, 0.3742)  4 Ni 2.32
O (0.2500, 0.7500, 0.0000)  4 La 2.40
O (0.7500, 0.2500, 0.0000)  4 La 2.40